# LiMoPtAu, optimized geometry, DFT PBE
# density	13.13	g/cm³
# relative energy among the computed polymorphs	0.0	meV per atom
# calculated volume	250.29	Å³ per cell
data_LiMoPtAu
_chemical_formula_sum 'Li4 Mo4 Pt4 Au4'
_space_group_name_H-M_alt 'F -4 3 m'
_space_group_IT_number 216
_space_group_name_Hall 'F -4 2 3'
_cell_length_a 6.302
_cell_length_b 6.302
_cell_length_c 6.302
_cell_angle_alpha 90.00
_cell_angle_beta 90.00
_cell_angle_gamma 90.00
loop_
_atom_site_label
_atom_site_type_symbol
_atom_site_fract_x
_atom_site_fract_y
_atom_site_fract_z
_atom_site_occupancy
Li1 Li 0.000 0.000 0.000 1
Mo1 Mo 0.000 0.000 0.500 1
Pt1 Pt 0.250 0.250 0.250 1
Au1 Au 0.250 0.250 0.750 1